# 1
First-principles (PBE) data for an optimized crystal structure of ZrTaCr2, as listed in Alexandria via LeMat-Bulk.

Density of states at the Fermi level, states/eV/f.u.: 5.17
ΔE_f, meV/atom: 329

a b c (Å): 3.2446 4.7333 4.2079
angles (deg): 90.00 90.00 90.00
Closest atoms and distances in Å follow each position.
Fractional coordinates of all 4 atoms:
Cr1 0.0000 0.0000 0.0000  4 Ta 2.66, 4 Cr 2.87
Cr2 0.5000 0.5000 0.0000  4 Zr 2.66, 4 Cr 2.87
Ta1 0.5000 0.0000 0.5000  4 Cr 2.66, 4 Zr 2.87
Zr1 0.0000 0.5000 0.5000  4 Cr 2.66, 4 Ta 2.87

=====

# 2
First-principles (PBE) data for an optimized crystal structure of TaBeCu2, as listed in Alexandria via LeMat-Bulk.

Density of states at the Fermi level, states/eV/f.u.: 2.23
ΔE_f, meV/atom: 12

a b c (Å): 2.7071 2.7674 6.6570
angles (deg): 90.00 90.00 90.00
Closest atoms and distances in Å follow each position.
Fractional coordinates of all 4 atoms:
Cu1 0.0000 0.0000 0.5522  4 Be 2.34
Cu2 0.0000 0.0000 0.9478  4 Be 2.34
Ta1 0.5000 0.5000 0.2500  4 Ta 2.71-2.77, 8 Cu 2.79
Be1 0.5000 0.5000 0.7500  8 Cu 2.34

=====

What did the first record say?
First-principles (PBE) data for an optimized crystal structure of ZrTaCr2, as listed in Alexandria via LeMat-Bulk.

Density of states at the Fermi level, states/eV/f.u.: 5.17
ΔE_f, meV/atom: 329

a b c (Å): 3.2446 4.7333 4.2079
angles (deg): 90.00 90.00 90.00
Closest atoms and distances in Å follow each position.
Fractional coordinates of all 4 atoms:
Cr1 0.0000 0.0000 0.0000  4 Ta 2.66, 4 Cr 2.87
Cr2 0.5000 0.5000 0.0000  4 Zr 2.66, 4 Cr 2.87
Ta1 0.5000 0.0000 0.5000  4 Cr 2.66, 4 Zr 2.87
Zr1 0.0000 0.5000 0.5000  4 Cr 2.66, 4 Ta 2.87

=====

Which formula does entry 2 have? TaBeCu2